This record from Alexandria via LeMat-Bulk describes a geometry-optimized Sm4Cd3Hg structure. The functional is PBE-GGA.

Lattice parameters (Å, degrees): 3.8125 3.8125 15.2023 90.00 90.00 90.00
Each line ends with the local moment (μB).
Sites, in units of the cell vectors:
Hg 0.5000 0.5000 0.0000  0.03
Sm 0.0000 0.0000 0.8768  0.21
Sm 0.0000 0.0000 0.1232  0.21
Sm 0.0000 0.0000 0.3742  0.18
Sm 0.0000 0.0000 0.6258  0.18
Cd 0.5000 0.5000 0.2503  0.02
Cd 0.5000 0.5000 0.5000  0.01
Cd 0.5000 0.5000 0.7497  0.02

Values from the calculation:
As for the energy relative to the lowest polymorph listed for this composition: 0 meV/atom. As for the uncorrected energy: -0.2275 Ry/atom. For the volume, the calculation gives 27.6 Å³ per atom.